No. 1
DFT (GGA-PBE) results for crystalline SrTc2Rh at its relaxed geometry.

abc: 2.771 2.771 9.206
angles: 90.00 90.00 90.02
Positions (direct):
Rh1 0.500 0.500 0.250
Sr1 0.500 0.500 0.750
Tc1 0.000 0.000 0.042
Tc2 0.000 0.000 0.458

Calculated total energy: -27.3 eV/cell
Energy of formation: 2.51 eV/f.u.
E above lowest polymorph: 0.296 eV/atom
DOS(E_F): 3.758 states/eV/cell
Space group: P4/mmm (123)
M_tot: 0.00 μB/f.u.

No. 2
DFT (GGA-PBE) results for crystalline Ba2PmAs3Pt12 at its relaxed geometry.

abc: 8.086 8.086 8.086
angles: 64.37 64.37 64.37
Positions (direct):
Ba1 0.603 0.603 0.603
Ba2 0.397 0.397 0.397
Pm1 0.000 0.000 0.000
As1 0.500 0.000 0.000
As2 0.000 0.500 0.000
As3 0.000 0.000 0.500
Pt1 0.343 0.343 0.906
Pt2 0.864 0.864 0.394
Pt3 0.394 0.864 0.864
Pt4 0.906 0.343 0.343
Pt5 0.864 0.394 0.864
Pt6 0.343 0.906 0.343
Pt7 0.657 0.657 0.094
Pt8 0.136 0.136 0.606
Pt9 0.606 0.136 0.136
Pt10 0.094 0.657 0.657
Pt11 0.136 0.606 0.136
Pt12 0.657 0.094 0.657

Calculated total energy: -98.1 eV/cell
Energy of formation: -3.08 eV/f.u.
DOS(E_F): 6.038 states/eV/cell
Space group: R-3m (166)
M_tot: 0.00 μB/f.u.

No. 3
DFT (GGA-PBE) results for crystalline TiAuICl2 at its relaxed geometry.

abc: 4.846 6.608 4.846
angles: 90.00 90.00 90.00
Positions (direct):
I1 0.000 0.500 0.000
Cl1 0.000 0.000 0.500
Cl2 0.500 0.000 0.000
Au1 0.000 0.000 0.000
Ti1 0.500 0.500 0.500

Calculated total energy: -15.6 eV/cell
DOS(E_F): 9.519 states/eV/cell
Raw formation energy: 3.88 kcal/mol of atoms
Space group: P4/mmm (123)
M_tot: 2.51 μB/f.u.

No. 4
DFT (GGA-PBE) results for crystalline Ca2InW at its relaxed geometry.

abc: 4.449 4.449 4.813
angles: 90.00 90.00 90.00
Positions (direct):
Ca1 0.000 0.000 0.000
Ca2 0.500 0.500 0.000
W1 0.000 0.500 0.500
In1 0.500 0.000 0.500

Calculated total energy: -17.2 eV/cell
Energy of formation: 2.54 eV/f.u.
DOS(E_F): 3.988 states/eV/cell
Space group: P4/mmm (123)
M_tot: 0.00 μB/f.u.